{
  "formula": "Pr3CdAg8",
  "functional": "GGA-PBE",
  "state": "optimized geometry",
  "cell": [[2.866, 1.655, 9.415], [-2.866, 1.655, 9.415], [0.000, -3.309, 9.415]],
  "species": ["Pr", "Pr", "Pr", "Cd", "Ag", "Ag", "Ag", "Ag", "Ag", "Ag", "Ag", "Ag"],
  "frac_coords": [[0.000, 0.000, 0.000], [0.125, 0.125, 0.125], [0.513, 0.513, 0.513], [0.634, 0.634, 0.634], [0.067, 0.567, 0.567], [0.070, 0.070, 0.564], [0.070, 0.564, 0.070], [0.317, 0.317, 0.317], [0.564, 0.070, 0.070], [0.567, 0.067, 0.567], [0.567, 0.567, 0.067], [0.818, 0.818, 0.818]],
  "sg": "No. 160",
  "n_ef_per_ev_fu": 9.88,
  "energy_ev_per_cell": -40.2,
  "rho_g_cm3": 8.7
}

{
  "formula": "Pr3Cd2Ag3",
  "functional": "GGA-PBE",
  "state": "optimized geometry",
  "cell": [[-1.909, 2.661, 10.250], [1.909, -2.661, 10.250], [1.909, 2.661, -10.250]],
  "species": ["Pr", "Pr", "Pr", "Cd", "Cd", "Ag", "Ag", "Ag"],
  "frac_coords": [[0.000, 0.000, 0.000], [0.368, 0.868, 0.500], [0.632, 0.132, 0.500], [0.235, 0.235, 0.000], [0.765, 0.765, 0.000], [0.126, 0.626, 0.500], [0.500, 0.500, 0.000], [0.874, 0.374, 0.500]],
  "sg": "No. 71",
  "polymorph_energy_ev_per_atom": 0.036,
  "n_ef_per_ev_fu": 6.32,
  "energy_ev_per_cell": -26.5,
  "rho_g_cm3": 7.7
}